This record from Alexandria describes a PBEsol-optimized structure of Sc2ReTc. The functional is meta-GGA SCAN.

Lattice parameters (Å, degrees): 3.177 4.377 4.695 90.00 90.00 90.00
Space group Pmmm (No. 47)
Unique sites:
1 Sc 0.000 0.000 0.000 (multiplicity 1)
2 Sc 0.500 0.000 0.500 (multiplicity 1)
3 Re 0.000 0.500 0.500 (multiplicity 1)
4 Tc 0.500 0.500 0.000 (multiplicity 1)

Summary:
- spin magnetization (μB/atom) = 0.00
- polymorph energy (0 for the lowest one) (eV/atom) = 0.003
- volume (Å³ per cell) = 65.30
- formation energy from the elements (eV/f.u.) = -0.12